Material: Cs3RuAu
Method: DFT, PBEsol
State: relaxed

Unit cell a=6.5147 b=6.5147 c=6.5147 alpha=90.00 beta=90.00 gamma=90.00
Closest atoms and distances in Å follow each position.
Element x y z (fractional)
1 Cs 0.0000 0.0000 0.5000  2 Au 3.26
2 Cs 0.0000 0.5000 0.0000  2 Au 3.26
3 Cs 0.5000 0.0000 0.0000  2 Au 3.26
4 Ru 0.5000 0.5000 0.5000  12 Cs 4.61
5 Au 0.0000 0.0000 0.0000  6 Cs 3.26

Summary:
volume	55.3	A^3/atom
formation energy	1054	meV/atom
calculated density	4.18	g cm⁻³
total DFT energy (no corrections)	-11.66	eV per formula unit
magnetization	2.080	μB/cell
symmetry	Pm-3m, No. 221



Material: SrLi3Ir
Method: DFT, PBEsol
State: relaxed

Unit cell a=4.7636 b=4.7636 c=4.7636 alpha=90.00 beta=90.00 gamma=90.00
Closest atoms and distances in Å follow each position.
Element x y z (fractional)
1 Sr 0.0000 0.0000 0.0000  12 Li 3.37
2 Li 0.0000 0.5000 0.5000  2 Ir 2.38
3 Li 0.5000 0.0000 0.5000  2 Ir 2.38
4 Li 0.5000 0.5000 0.0000  2 Ir 2.38
5 Ir 0.5000 0.5000 0.5000  6 Li 2.38

Summary:
volume	21.6	A^3/atom
formation energy	184	meV/atom
calculated density	4.62	g cm⁻³
total DFT energy (no corrections)	-16.64	eV per formula unit
magnetization	0.000	μB/cell
symmetry	Pm-3m, No. 221



Material: Hf3SnPb
Method: DFT, PBEsol
State: relaxed

Unit cell a=5.1806 b=5.1806 c=5.1806 alpha=90.00 beta=90.00 gamma=90.00
Closest atoms and distances in Å follow each position.
Element x y z (fractional)
1 Hf 0.0000 0.0000 0.5000  2 Sn 2.59
2 Hf 0.0000 0.5000 0.0000  2 Sn 2.59
3 Hf 0.5000 0.0000 0.0000  2 Sn 2.59
4 Sn 0.0000 0.0000 0.0000  6 Hf 2.59
5 Pb 0.5000 0.5000 0.5000  12 Hf 3.66

Summary:
volume	27.8	A^3/atom
formation energy	940	meV/atom
calculated density	10.29	g cm⁻³
total DFT energy (no corrections)	-35.07	eV per formula unit
magnetization	0.001	μB/cell
symmetry	Pm-3m, No. 221



Material: Li2InPd
Method: DFT, PBEsol
State: relaxed

Unit cell a=4.4625 b=4.4625 c=4.4625 alpha=60.00 beta=60.00 gamma=60.00
Closest atoms and distances in Å follow each position.
Element x y z (fractional)
1 Li 0.0000 0.0000 0.0000  4 In 2.73, 4 Li 2.73
2 Li 0.2500 0.2500 0.2500  4 Li 2.73, 4 Pd 2.73
3 In 0.7500 0.7500 0.7500  4 Li 2.73, 4 Pd 2.73
4 Pd 0.5000 0.5000 0.5000  4 In 2.73, 4 Li 2.73

Summary:
volume	15.7	A^3/atom
formation energy	-493	meV/atom
calculated density	6.21	g cm⁻³
total DFT energy (no corrections)	-14.85	eV per formula unit
magnetization	0.000	μB/cell
symmetry	F-43m, No. 216



Material: CrCo2HAu
Method: DFT, PBEsol
State: relaxed

Unit cell a=4.6340 b=4.6340 c=4.9754 alpha=90.00 beta=90.00 gamma=90.00
Closest atoms and distances in Å follow each position.
Element x y z (fractional)
1 Cr 0.0000 0.0000 0.0000  2 Au 2.49
2 Co 0.0000 0.5000 0.5000  2 Au 2.32
3 Co 0.5000 0.0000 0.5000  2 Au 2.32
4 H 0.5000 0.5000 0.0000  4 Cr 3.28, 8 Co 3.40
5 Au 0.0000 0.0000 0.5000  4 Co 2.32, 2 Cr 2.49

Summary:
volume	21.4	A^3/atom
calculated density	5.72	g cm⁻³
total DFT energy (no corrections)	-22.63	eV per formula unit
magnetization	8.303	μB/cell
symmetry	P4/mmm, No. 123



Material: ScRe2As
Method: DFT, PBEsol
State: relaxed

Unit cell a=5.2746 b=5.2746 c=5.2746 alpha=145.25 beta=132.35 gamma=60.31
Closest atoms and distances in Å follow each position.
Element x y z (fractional)
1 Sc 0.0000 0.0000 0.0000  6 Re 2.65-2.88, 2 As 2.90
2 Re 0.4944 0.4944 0.0000  2 As 2.60, 4 Sc 2.65, 2 Re 2.70
3 Re 0.7351 0.2351 0.5000  4 As 2.67, 2 Re 2.70, 2 Sc 2.88
4 As 0.2674 0.7674 0.5000  6 Re 2.60-2.67, 2 Sc 2.90

Summary:
volume	15.3	A^3/atom
formation energy	-6	meV/atom
calculated density	13.35	g cm⁻³
total DFT energy (no corrections)	-38.40	eV per formula unit
magnetization	0.000	μB/cell
symmetry	Imm2, No. 44



Material: K2CdSb
Method: DFT, PBEsol
State: relaxed

Unit cell a=5.6122 b=5.6122 c=5.6122 alpha=60.00 beta=60.00 gamma=60.00
Closest atoms and distances in Å follow each position.
Element x y z (fractional)
1 K 0.0000 0.0000 0.0000  4 K 3.44, 4 Sb 3.44
2 K 0.2500 0.2500 0.2500  4 Cd 3.44, 4 K 3.44
3 Cd 0.5000 0.5000 0.5000  4 Sb 3.44, 4 K 3.44
4 Sb 0.7500 0.7500 0.7500  4 Cd 3.44, 4 K 3.44

Summary:
volume	31.2	A^3/atom
polymorph energy (0 for the lowest one)	0	meV/atom
calculated density	4.15	g cm⁻³
total DFT energy (no corrections)	-8.71	eV per formula unit
magnetization	0.000	μB/cell
symmetry	F-43m, No. 216



Material: Mn2CuNi
Method: DFT, PBEsol
State: relaxed

Unit cell a=4.1256 b=4.1256 c=2.8277 alpha=90.00 beta=90.00 gamma=90.00
Closest atoms and distances in Å follow each position.
Element x y z (fractional)
1 Mn 0.0000 0.5000 0.0000  4 Ni 2.50, 4 Cu 2.50
2 Mn 0.5000 0.0000 0.0000  4 Ni 2.50, 4 Cu 2.50
3 Cu 0.0000 0.0000 0.5000  8 Mn 2.50
4 Ni 0.5000 0.5000 0.5000  8 Mn 2.50

Summary:
volume	12.0	A^3/atom
formation energy	199	meV/atom
calculated density	8.01	g cm⁻³
total DFT energy (no corrections)	-29.22	eV per formula unit
magnetization	7.791	μB/cell
symmetry	P4/mmm, No. 123



Material: BaMnNi
Method: DFT, PBEsol
State: relaxed

Unit cell a=4.9204 b=4.9204 c=4.9204 alpha=60.00 beta=60.00 gamma=60.00
Closest atoms and distances in Å follow each position.
Element x y z (fractional)
1 Ba 0.0000 0.0000 0.0000  4 Mn 3.01, 4 Ni 3.01
2 Mn 0.7500 0.7500 0.7500  4 Ba 3.01
3 Ni 0.2500 0.2500 0.2500  4 Ba 3.01

Summary:
volume	28.1	A^3/atom
formation energy	1510	meV/atom
calculated density	4.95	g cm⁻³
total DFT energy (no corrections)	-13.54	eV per formula unit
magnetization	4.959	μB/cell
symmetry	F-43m, No. 216



Material: Y2TlCd
Method: DFT, PBEsol
State: relaxed

Unit cell a=5.2368 b=5.2368 c=5.2368 alpha=60.00 beta=60.00 gamma=60.00
Closest atoms and distances in Å follow each position.
Element x y z (fractional)
1 Y 0.2500 0.2500 0.2500  4 Cd 3.21, 4 Tl 3.21
2 Y 0.7500 0.7500 0.7500  4 Cd 3.21, 4 Tl 3.21
3 Tl 0.0000 0.0000 0.0000  8 Y 3.21
4 Cd 0.5000 0.5000 0.5000  8 Y 3.21

Summary:
volume	25.4	A^3/atom
formation energy	-437	meV/atom
calculated density	8.09	g cm⁻³
total DFT energy (no corrections)	-19.22	eV per formula unit
magnetization	0.003	μB/cell
symmetry	Fm-3m, No. 225



Material: BaY2Sc
Method: DFT, PBEsol
State: relaxed

Unit cell a=3.5705 b=3.5705 c=10.3383 alpha=90.00 beta=90.00 gamma=90.00
Closest atoms and distances in Å follow each position.
Element x y z (fractional)
1 Ba 0.0000 0.0000 0.0000  4 Ba 3.57, 4 Sc 3.77, 4 Y 3.92
2 Y 0.0000 0.0000 0.4790  4 Sc 3.32, 8 Y 3.47-3.57
3 Y 0.5000 0.5000 0.7093  8 Y 3.47-3.57
4 Sc 0.5000 0.5000 0.2707  4 Y 3.32, 4 Sc 3.57

Summary:
volume	32.9	A^3/atom
polymorph energy (0 for the lowest one)	0	meV/atom
formation energy	199	meV/atom
calculated density	4.54	g cm⁻³
total DFT energy (no corrections)	-21.60	eV per formula unit
magnetization	0.186	μB/cell
symmetry	P4mm, No. 99



Material: AlCuOF2
Method: DFT, PBEsol
State: relaxed

Unit cell a=3.8603 b=3.8603 c=3.8608 alpha=90.00 beta=90.00 gamma=90.00
Closest atoms and distances in Å follow each position.
Element x y z (fractional)
1 Al 0.0000 0.0000 0.0000  4 O 2.73, 8 F 2.73
2 Cu 0.5000 0.5000 0.5000  4 F 1.93, 2 O 1.93
3 O 0.5000 0.5000 0.0000  2 Cu 1.93
4 F 0.0000 0.5000 0.5000  2 Cu 1.93
5 F 0.5000 0.0000 0.5000  2 Cu 1.93

Summary:
volume	11.5	A^3/atom
calculated density	4.17	g cm⁻³
total DFT energy (no corrections)	-22.51	eV per formula unit
magnetization	0.002	μB/cell
symmetry	P4/mmm, No. 123



Material: BeCrFe4
Method: DFT, PBEsol
State: relaxed

Unit cell a=4.5156 b=4.5156 c=4.5156 alpha=60.00 beta=60.00 gamma=60.00
Closest atoms and distances in Å follow each position.
Element x y z (fractional)
1 Be 0.0000 0.0000 0.0000  12 Fe 2.65, 4 Cr 2.77
2 Cr 0.2500 0.2500 0.2500  12 Fe 2.65, 4 Be 2.77
3 Fe 0.1222 0.6259 0.6259  6 Fe 2.24-2.27
4 Fe 0.6259 0.1222 0.6259  6 Fe 2.24-2.27
5 Fe 0.6259 0.6259 0.1222  6 Fe 2.24-2.27
6 Fe 0.6259 0.6259 0.6259  6 Fe 2.24-2.27

Summary:
volume	10.9	A^3/atom
formation energy	203	meV/atom
calculated density	7.25	g cm⁻³
total DFT energy (no corrections)	-48.88	eV per formula unit
magnetization	3.503	μB/cell
symmetry	F-43m, No. 216



Material: IrOsW2
Method: DFT, PBEsol
State: relaxed

Unit cell a=4.7690 b=4.7690 c=2.7526 alpha=90.00 beta=90.00 gamma=109.26
Closest atoms and distances in Å follow each position.
Element x y z (fractional)
1 Ir 0.0000 0.0000 0.0000  2 Ir 2.75, 8 W 2.75, 2 Os 2.76
2 Os 0.5000 0.5000 0.0000  2 Os 2.75, 8 W 2.75, 2 Ir 2.76
3 W 0.0000 0.5000 0.5000  4 W 2.75-2.76, 4 Os 2.75, 4 Ir 2.75
4 W 0.5000 0.0000 0.5000  4 W 2.75-2.76, 4 Os 2.75, 4 Ir 2.75

Summary:
volume	14.8	A^3/atom
polymorph energy (0 for the lowest one)	7	meV/atom
formation energy	-114	meV/atom
calculated density	21.08	g cm⁻³
total DFT energy (no corrections)	-50.11	eV per formula unit
magnetization	0.000	μB/cell
symmetry	Cmmm, No. 65